No. 1
A plane-wave DFT calculation with PBE was carried out for a relaxed structure of Sr2FeOs.

Cell lengths 10.0071, 10.0071, 10.0071 Å; angles 19.43, 19.43, 19.43 degrees
Positions (direct):
Sr 0.2446 0.2446 0.2446
Sr 0.7554 0.7554 0.7554
Fe 0.0000 0.0000 0.0000
Os 0.5000 0.5000 0.5000

- Energy of formation from the pure elements: 1186 meV/atom
- Mass density: 7.21 Mg/m³
- Spin magnetization: 2.523 μB/f.u.

***

No. 2
A plane-wave DFT calculation with PBE was carried out for a relaxed structure of KLiPb2.

Cell lengths 5.4058, 5.4058, 4.1321 Å; angles 90.00, 90.00, 90.00 degrees
Positions (direct):
K 0.0000 0.0000 0.0000
Li 0.5000 0.5000 0.0000
Pb 0.0000 0.5000 0.5000
Pb 0.5000 0.0000 0.5000

- Energy of formation from the pure elements: -7 meV/atom
- Mass density: 6.33 Mg/m³
- Spin magnetization: 0.000 μB/f.u.

***

No. 3
A plane-wave DFT calculation with PBE was carried out for a relaxed structure of CeTh2Si3Rh4.

Cell lengths 4.1798, 4.1798, 10.9098 Å; angles 90.00, 90.00, 90.00 degrees
Positions (direct):
Ce 0.0000 0.0000 0.0000
Th 0.0000 0.5000 0.7281
Th 0.5000 0.0000 0.2719
Si 0.0000 0.5000 0.3804
Si 0.5000 0.0000 0.6196
Si 0.5000 0.5000 0.0000
Rh 0.0000 0.0000 0.5000
Rh 0.0000 0.5000 0.1596
Rh 0.5000 0.0000 0.8404
Rh 0.5000 0.5000 0.5000

- Total energy: -7.60 eV/atom
- Mass density: 9.58 Mg/m³
- Spin magnetization: 0.000 μB/f.u.

***

No. 4
A plane-wave DFT calculation with PBE was carried out for a relaxed structure of GePt3I.

Cell lengths 4.7672, 4.7672, 4.7672 Å; angles 90.00, 90.00, 90.00 degrees
Positions (direct):
Ge 0.0000 0.0000 0.0000
Pt 0.0000 0.0000 0.5000
Pt 0.0000 0.5000 0.0000
Pt 0.5000 0.0000 0.0000
I 0.5000 0.5000 0.5000

- Total energy: -4.26 eV/atom
- Mass density: 12.03 Mg/m³
- Spin magnetization: 0.000 μB/f.u.

***

No. 5
A plane-wave DFT calculation with PBE was carried out for a relaxed structure of Ca2PrCd2.

Cell lengths 5.9063, 3.7492, 14.4599 Å; angles 90.00, 94.61, 90.00 degrees
Positions (direct):
Ca 0.1679 0.2500 0.1176
Ca 0.2548 0.7500 0.5262
Ca 0.7452 0.2500 0.4738
Ca 0.8321 0.7500 0.8824
Pr 0.3049 0.2500 0.7512
Pr 0.6951 0.7500 0.2488
Cd 0.2213 0.2500 0.3389
Cd 0.3426 0.7500 0.9434
Cd 0.6574 0.2500 0.0566
Cd 0.7787 0.7500 0.6611

- Energy of formation from the pure elements: -145 meV/atom
- Mass density: 4.64 Mg/m³
- Spin magnetization: 0.000 μB/f.u.

***

No. 6
A plane-wave DFT calculation with PBE was carried out for a relaxed structure of AlMo2Se.

Cell lengths 5.1793, 5.1793, 5.1793 Å; angles 144.13, 126.95, 65.71 degrees
Positions (direct):
Al 0.0000 0.0000 0.0000
Mo 0.2517 0.7517 0.5000
Mo 0.7483 0.2483 0.5000
Se 0.5000 0.5000 0.0000

- Total energy: -6.96 eV/atom
- Mass density: 7.70 Mg/m³
- Spin magnetization: 0.000 μB/f.u.

***

No. 7
A plane-wave DFT calculation with PBE was carried out for a relaxed structure of Ba6SbTe3I2.

Cell lengths 8.6951, 8.6951, 8.6850 Å; angles 99.58, 99.58, 119.92 degrees
Positions (direct):
Ba 0.0862 0.4026 0.7586
Ba 0.2286 0.2286 0.2396
Ba 0.4026 0.0862 0.7586
Ba 0.5974 0.9138 0.2414
Ba 0.7714 0.7714 0.7604
Ba 0.9138 0.5974 0.2414
Sb 0.0000 0.0000 0.5000
Te 0.1721 0.8279 0.0000
Te 0.5000 0.5000 0.0000
Te 0.8279 0.1721 0.0000
I 0.3343 0.6657 0.5000
I 0.6657 0.3343 0.5000

- Total energy: -3.95 eV/atom
- Mass density: 4.90 Mg/m³
- Spin magnetization: 0.000 μB/f.u.

***

No. 8
A plane-wave DFT calculation with PBE was carried out for a relaxed structure of AlTcIr2Os.

Cell lengths 4.7321, 4.7321, 4.5703 Å; angles 90.00, 90.00, 90.00 degrees
Positions (direct):
Al 0.0000 0.0000 0.0000
Tc 0.5000 0.5000 0.0000
Ir 0.0000 0.5000 0.5000
Ir 0.5000 0.0000 0.5000
Os 0.0000 0.0000 0.5000

- Energy of formation from the pure elements: 1591 meV/atom
- Mass density: 11.35 Mg/m³
- Spin magnetization: 3.250 μB/f.u.

***

No. 9
A plane-wave DFT calculation with PBE was carried out for a relaxed structure of KZn5Au2.

Cell lengths 6.7389, 6.7389, 6.7389 Å; angles 142.87, 114.64, 77.63 degrees
Positions (direct):
K 0.0000 0.0000 0.0000
Zn 0.1790 0.3632 0.8158
Zn 0.4527 0.6368 0.8158
Zn 0.5000 0.0000 0.5000
Zn 0.5473 0.3632 0.1842
Zn 0.8210 0.6368 0.1842
Au 0.2555 0.7555 0.5000
Au 0.7445 0.2445 0.5000

- Energy of formation from the pure elements: -127 meV/atom
- Mass density: 7.70 Mg/m³
- Spin magnetization: 0.000 μB/f.u.

***

No. 10
A plane-wave DFT calculation with PBE was carried out for a relaxed structure of LaBe2AgH8.

Cell lengths 6.9332, 6.9332, 6.9332 Å; angles 37.55, 37.55, 37.55 degrees
Positions (direct):
La 0.0000 0.0000 0.0000
Be 0.2481 0.2481 0.2481
Be 0.7519 0.7519 0.7519
Ag 0.5000 0.5000 0.5000
H 0.0650 0.7969 0.4402
H 0.2031 0.5598 0.9350
H 0.3252 0.3252 0.3252
H 0.4402 0.0650 0.7969
H 0.5598 0.9350 0.2031
H 0.6748 0.6748 0.6748
H 0.7969 0.4402 0.0650
H 0.9350 0.2031 0.5598

- Total energy: -3.67 eV/atom
- Mass density: 4.08 Mg/m³
- Spin magnetization: 0.000 μB/f.u.